Material: MnNi2IrW
Method: DFT, PBEsol
State: optimized geometry

Unit cell a=4.1169 b=4.1169 c=4.2764 alpha=90.00 beta=90.00 gamma=90.00
Last column: nearest neighbours and their distance in Å.
Sites, in units of the cell vectors:
Mn: 0.0000 0.0000 0.0000  4 Ni 2.06, 2 W 2.14
Ni: 0.0000 0.5000 0.0000  2 Mn 2.06
Ni: 0.5000 0.0000 0.0000  2 Mn 2.06
Ir: 0.5000 0.5000 0.5000  4 W 2.91, 8 Ni 2.97
W: 0.0000 0.0000 0.5000  2 Mn 2.14

Results
D(E_F)   5.836 states/eV/f.u.
Theoretical density   12.56 Mg/m³
SG   P4/mmm
ΔH_f (0 K)   1389 meV/atom


Material: MnIr2Os
Method: DFT, PBEsol
State: optimized geometry

Unit cell a=8.7561 b=8.7561 c=8.7561 alpha=17.52 beta=17.52 gamma=17.52
Last column: nearest neighbours and their distance in Å.
Sites, in units of the cell vectors:
Mn: 0.0000 0.0000 0.0000  3 Os 2.55, 3 Ir 2.56, 6 Mn 2.67
Ir: 0.2542 0.2542 0.2542  3 Mn 2.56, 9 Ir 2.67-2.77
Ir: 0.4988 0.4988 0.4988  9 Ir 2.67-2.77, 3 Os 2.72
Os: 0.7454 0.7454 0.7454  3 Mn 2.55, 6 Os 2.67, 3 Ir 2.72

Results
D(E_F)   3.707 states/eV/f.u.
Theoretical density   19.68 Mg/m³
SG   R3m
ΔH_f (0 K)   25 meV/atom


Material: MnIr2Os
Method: DFT, PBEsol
State: optimized geometry

Unit cell a=2.6827 b=4.2406 c=4.6538 alpha=90.00 beta=90.00 gamma=90.00
Last column: nearest neighbours and their distance in Å.
Sites, in units of the cell vectors:
Mn: 0.0000 0.0000 0.0000  2 Os 2.60, 8 Ir 2.62-2.71, 2 Mn 2.68
Ir: 0.5000 0.0000 0.5052  4 Os 2.63, 4 Ir 2.65-2.68, 4 Mn 2.67-2.71
Ir: 0.5000 0.5000 0.1633  4 Mn 2.62, 4 Os 2.63-2.74, 4 Ir 2.65-2.68
Os: 0.0000 0.5000 0.6773  2 Mn 2.60, 8 Ir 2.63-2.74, 2 Os 2.68

Results
D(E_F)   3.232 states/eV/f.u.
Theoretical density   19.75 Mg/m³
SG   Pmm2
ΔH_f (0 K)   -91 meV/atom


Material: MnIr2Os
Method: DFT, PBEsol
State: optimized geometry

Unit cell a=2.6883 b=3.7552 c=5.3337 alpha=90.00 beta=90.00 gamma=90.00
Last column: nearest neighbours and their distance in Å.
Sites, in units of the cell vectors:
Mn: 0.0000 0.0000 0.0000  8 Ir 2.66, 2 Os 2.67, 2 Mn 2.69
Ir: 0.5000 0.5000 0.2468  4 Ir 2.63-2.70, 4 Mn 2.66, 4 Os 2.67
Ir: 0.5000 0.5000 0.7532  4 Ir 2.63-2.70, 4 Mn 2.66, 4 Os 2.67
Os: 0.0000 0.0000 0.5000  2 Mn 2.67, 8 Ir 2.67, 2 Os 2.69

Results
D(E_F)   3.666 states/eV/f.u.
Theoretical density   19.42 Mg/m³
SG   Pmmm
ΔH_f (0 K)   -47 meV/atom


Material: MnP2Ir
Method: DFT, PBEsol
State: optimized geometry

Unit cell a=4.0494 b=4.0494 c=4.6362 alpha=102.55 beta=102.55 gamma=44.07
Last column: nearest neighbours and their distance in Å.
Sites, in units of the cell vectors:
Mn: 0.0000 0.0000 0.0000  5 P 2.16-2.30
P: 0.2917 0.2917 0.0324  3 Mn 2.16-2.21, 2 Ir 2.38
P: 0.5233 0.5233 0.6371  2 Mn 2.30, 3 Ir 2.37-2.40
Ir: 0.7812 0.7812 0.4234  5 P 2.37-2.40

Results
D(E_F)   1.387 states/eV/f.u.
Theoretical density   9.99 Mg/m³
SG   Cm
ΔH_f (0 K)   -413 meV/atom


Material: MnPIr
Method: DFT, PBEsol
State: optimized geometry

Unit cell a=3.8413 b=3.8413 c=3.8413 alpha=60.00 beta=60.00 gamma=60.00
Last column: nearest neighbours and their distance in Å.
Sites, in units of the cell vectors:
Mn: 0.0000 0.0000 0.0000  4 P 2.35
P: 0.7500 0.7500 0.7500  4 Ir 2.35, 4 Mn 2.35
Ir: 0.5000 0.5000 0.5000  4 P 2.35

Results
D(E_F)   2.616 states/eV/f.u.
Theoretical density   11.52 Mg/m³
SG   F-43m
ΔH_f (0 K)   -362 meV/atom


Material: Mn2PIr
Method: DFT, PBEsol
State: optimized geometry

Unit cell a=3.4214 b=5.3616 c=5.3616 alpha=30.49 beta=90.00 gamma=90.00
Last column: nearest neighbours and their distance in Å.
Sites, in units of the cell vectors:
Mn: 0.0000 0.0000 0.0000  1 P 2.30, 4 Ir 2.56
Mn: 0.5000 0.3573 0.3573  4 P 2.36
P: 0.0000 0.7781 0.7781  5 Mn 2.30-2.36, 2 Ir 2.34
Ir: 0.5000 0.6236 0.6236  2 P 2.34, 4 Mn 2.56

Results
D(E_F)   4.027 states/eV/f.u.
Theoretical density   11.08 Mg/m³
SG   Amm2
ΔH_f (0 K)   -239 meV/atom


Material: MnPIr
Method: DFT, PBEsol
State: optimized geometry

Unit cell a=3.9961 b=3.9961 c=2.8528 alpha=90.00 beta=90.00 gamma=120.00
Last column: nearest neighbours and their distance in Å.
Sites, in units of the cell vectors:
Mn: 0.0000 0.0000 0.0000  6 Ir 2.71, 6 P 2.71, 2 Mn 2.85
P: 0.3333 0.6667 0.5000  3 Ir 2.31
Ir: 0.6667 0.3333 0.5000  3 P 2.31

Results
D(E_F)   1.541 states/eV/f.u.
Theoretical density   11.71 Mg/m³
SG   P-6m2
ΔH_f (0 K)   -308 meV/atom


Material: Mn2PIr
Method: DFT, PBEsol
State: optimized geometry

Unit cell a=2.7436 b=3.5169 c=5.0234 alpha=90.00 beta=90.00 gamma=90.00
Last column: nearest neighbours and their distance in Å.
Sites, in units of the cell vectors:
Mn: 0.0000 0.0000 0.0000  1 P 2.32, 4 Mn 2.42
Mn: 0.5000 0.5000 0.1880  4 Mn 2.42, 2 Ir 2.51, 4 P 2.62
P: 0.0000 0.0000 0.4615  1 Mn 2.32, 4 Ir 2.50
Ir: 0.5000 0.5000 0.6883  4 P 2.50, 6 Mn 2.51-2.72, 2 Ir 2.74

Results
D(E_F)   3.435 states/eV/f.u.
Theoretical density   11.41 Mg/m³
SG   Pmm2
ΔH_f (0 K)   -62 meV/atom


Material: Mn2PIr
Method: DFT, PBEsol
State: optimized geometry

Unit cell a=7.8340 b=7.8340 c=7.8340 alpha=19.34 beta=19.34 gamma=19.34
Last column: nearest neighbours and their distance in Å.
Sites, in units of the cell vectors:
Mn: 0.2426 0.2426 0.2426  3 P 2.32, 3 Ir 2.58
Mn: 0.7574 0.7574 0.7574  3 P 2.32, 3 Ir 2.58
P: 0.5000 0.5000 0.5000  6 Mn 2.32
Ir: 0.0000 0.0000 0.0000  6 Mn 2.58, 6 Ir 2.63

Results
D(E_F)   4.211 states/eV/f.u.
Theoretical density   11.99 Mg/m³
SG   R-3m
ΔH_f (0 K)   -178 meV/atom


Material: Mn2PIr
Method: DFT, PBEsol
State: optimized geometry

Unit cell a=2.7314 b=2.7314 c=6.1938 alpha=90.00 beta=90.00 gamma=90.00
Last column: nearest neighbours and their distance in Å.
Sites, in units of the cell vectors:
Mn: 0.0000 0.0000 0.0000  8 Mn 2.53-2.73, 4 Ir 2.63, 1 P 2.79
Mn: 0.5000 0.5000 0.2639  4 P 2.25
P: 0.0000 0.0000 0.4509  4 Mn 2.25, 4 Ir 2.52
Ir: 0.5000 0.5000 0.7128  4 P 2.52, 5 Mn 2.63-2.78, 4 Ir 2.73

Results
D(E_F)   3.227 states/eV/f.u.
Theoretical density   11.97 Mg/m³
SG   P4mm
ΔH_f (0 K)   -146 meV/atom


Material: MnIr2Pb
Method: DFT, PBEsol
State: optimized geometry

Unit cell a=4.7609 b=4.7609 c=4.8824 alpha=100.89 beta=100.89 gamma=36.44
Last column: nearest neighbours and their distance in Å.
Sites, in units of the cell vectors:
Mn: 0.0000 0.0000 0.0000  5 Ir 2.58-2.65
Ir: 0.4854 0.4854 0.4246  2 Mn 2.58, 3 Pb 2.75-2.82, 3 Ir 2.78-2.82
Ir: 0.7372 0.7372 0.1628  3 Mn 2.60-2.65, 3 Ir 2.78-2.82, 2 Pb 2.79
Pb: 0.2407 0.2407 0.6801  7 Ir 2.75-2.93, 3 Mn 2.92-2.95, 2 Pb 2.98

Results
D(E_F)   3.409 states/eV/f.u.
Theoretical density   16.66 Mg/m³
SG   Cm
ΔH_f (0 K)   410 meV/atom